[1]
Crystalline UTcP at its relaxed geometry, computed with GGA-PBE.

Calculated values
Fermi-level density of states	7.17	states/eV per cell
raw total energy	-9.5523	eV/atom
formation enthalpy at 0 K	-0.53	eV/atom
polymorph energy (0 for the lowest one)	122	meV/atom
M_tot	0.00	μB/f.u.

Lattice parameters (Å, degrees): 3.949 5.488 5.273 90.00 104.70 90.00
Space group P2_1/m (No. 11)
Asymmetric unit:
U (0.178, 0.250, 0.267) (multiplicity 2)
Tc (0.405, 0.250, 0.909) (multiplicity 2)
P (0.180, 0.750, 0.358) (multiplicity 2)

***

[2]
Crystalline U2Tc2P3 at its relaxed geometry, computed with GGA-PBE.

Calculated values
Fermi-level density of states	44.34	states/eV per cell
raw total energy	-9.1546	eV/atom
formation enthalpy at 0 K	-0.65	eV/atom
M_tot	2.87	μB/f.u.

Lattice parameters (Å, degrees): 14.705 3.872 10.990 90.00 126.59 90.00
Space group C2/m (No. 12)
Asymmetric unit:
U (0.097, 0.000, 0.446) (multiplicity 4)
U (0.235, 0.000, 0.843) (multiplicity 4)
Tc (0.031, 0.500, 0.802) (multiplicity 4)
Tc (0.096, 0.000, 0.157) (multiplicity 4)
P (0.086, 0.500, 0.639) (multiplicity 4)
P (0.108, 0.000, 0.954) (multiplicity 4)
P (0.170, 0.500, 0.320) (multiplicity 4)

***

[3]
Crystalline UTcP at its relaxed geometry, computed with GGA-PBE.

Calculated values
Fermi-level density of states	14.02	states/eV per cell
raw total energy	-9.6154	eV/atom
formation enthalpy at 0 K	-0.59	eV/atom
polymorph energy (0 for the lowest one)	59	meV/atom
M_tot	0.00	μB/f.u.

Lattice parameters (Å, degrees): 4.019 11.109 4.428 90.00 90.00 90.00
Space group Cmcm (No. 63)
Asymmetric unit:
U (0.000, 0.063, 0.250) (multiplicity 4)
Tc (0.000, 0.247, 0.750) (multiplicity 4)
P (0.000, 0.366, 0.250) (multiplicity 4)

***

[4]
Crystalline UTc2P3 at its relaxed geometry, computed with GGA-PBE.

Calculated values
Fermi-level density of states	12.22	states/eV per cell
raw total energy	-8.6673	eV/atom
formation enthalpy at 0 K	-0.63	eV/atom
M_tot	1.65	μB/f.u.

Lattice parameters (Å, degrees): 3.229 9.395 6.467 90.00 90.00 90.00
Space group Pmc2_1 (No. 26)
Asymmetric unit:
U (0.000, 0.142, 0.000) (multiplicity 2)
Tc (0.000, 0.240, 0.532) (multiplicity 2)
Tc (0.500, 0.494, 0.033) (multiplicity 2)
P (0.000, 0.402, 0.792) (multiplicity 2)
P (0.500, 0.068, 0.660) (multiplicity 2)
P (0.500, 0.289, 0.270) (multiplicity 2)

***

Question: Among the records above, which one has the highest raw total energy?
Answer: UTc2P3

***

What did the first record say?
Crystalline UTcP at its relaxed geometry, computed with GGA-PBE.

Calculated values
Fermi-level density of states	7.17	states/eV per cell
raw total energy	-9.5523	eV/atom
formation enthalpy at 0 K	-0.53	eV/atom
polymorph energy (0 for the lowest one)	122	meV/atom
M_tot	0.00	μB/f.u.

Lattice parameters (Å, degrees): 3.949 5.488 5.273 90.00 104.70 90.00
Space group P2_1/m (No. 11)
Asymmetric unit:
U (0.178, 0.250, 0.267) (multiplicity 2)
Tc (0.405, 0.250, 0.909) (multiplicity 2)
P (0.180, 0.750, 0.358) (multiplicity 2)

***

Copy entry 3 word for word.
Crystalline UTcP at its relaxed geometry, computed with GGA-PBE.

Calculated values
Fermi-level density of states	14.02	states/eV per cell
raw total energy	-9.6154	eV/atom
formation enthalpy at 0 K	-0.59	eV/atom
polymorph energy (0 for the lowest one)	59	meV/atom
M_tot	0.00	μB/f.u.

Lattice parameters (Å, degrees): 4.019 11.109 4.428 90.00 90.00 90.00
Space group Cmcm (No. 63)
Asymmetric unit:
U (0.000, 0.063, 0.250) (multiplicity 4)
Tc (0.000, 0.247, 0.750) (multiplicity 4)
P (0.000, 0.366, 0.250) (multiplicity 4)